1.
Entry from the Open Quantum Materials Database: an optimized crystal structure of FeSn2As (PBE).

The value obtained for the energy is -18.83 eV per formula unit.

The structure belongs to space group F-43m (No. 216); the cell edges are 6.798, 6.798 and 6.798 Å and the angles 90.00°, 90.00° and 90.00°. Symmetry generates all atoms from Fe at (0.000, 0.000, 0.000), Sn at (0.000, 0.000, 0.500), Sn at (0.250, 0.250, 0.250) and As at (0.250, 0.250, 0.750).

=====

2.
Entry from the Open Quantum Materials Database: an optimized crystal structure of KOs2Se6 (PBE).

The value obtained for the energy is -46.55 eV per formula unit.

The structure belongs to space group P-1 (No. 2); the cell edges are 6.820, 7.891 and 8.829 Å and the angles 114.29°, 92.37° and 105.36°. Symmetry generates all atoms from K at (0.208, 0.425, 0.119), Os at (0.155, 0.187, 0.564), Os at (0.372, 0.818, 0.763), Se at (0.007, 0.676, 0.603), Se at (0.165, 0.891, 0.330), Se at (0.275, 0.529, 0.815), Se at (0.280, 0.017, 0.061), Se at (0.364, 0.132, 0.775) and Se at (0.489, 0.666, 0.500).

=====

3.
Entry from the Open Quantum Materials Database: an optimized crystal structure of KTmPO (PBE).

The calculation puts the polymorph energy (0 for the lowest one) at 545.9 meV per atom.

The structure belongs to space group P4/mmm (No. 123); the cell edges are 3.996, 3.996 and 5.016 Å and the angles 90.00°, 90.00° and 90.00°. Symmetry generates all atoms from K at (0.000, 0.000, 0.000), Tm at (0.500, 0.500, 0.500), P at (0.000, 0.000, 0.500) and O at (0.500, 0.500, 0.000).

=====

4.
Entry from the Open Quantum Materials Database: an optimized crystal structure of AcPrNO (PBE).

The calculation puts the polymorph energy (0 for the lowest one) at 80.0 meV per atom.

The structure belongs to space group Pmc2_1 (No. 26); the cell edges are 4.125, 7.187 and 6.115 Å and the angles 90.00°, 90.00° and 90.00°. Symmetry generates all atoms from Ac at (0.000, 0.153, 0.000), Pr at (0.500, 0.327, 0.512), N at (0.000, 0.196, 0.406) and O at (0.500, 0.355, 0.906).

=====

5.
Entry from the Open Quantum Materials Database: an optimized crystal structure of SmSCl (PBE).

The value obtained for the energy is -17.24 eV per formula unit.

The structure belongs to space group P2_1/c (No. 14); the cell edges are 6.798, 6.826 and 6.920 Å and the angles 90.00°, 101.04° and 90.00°. Symmetry generates all atoms from Sm at (0.189, 0.044, 0.293), S at (0.061, 0.743, 0.512) and Cl at (0.435, 0.162, 0.665).

=====

6.
Entry from the Open Quantum Materials Database: an optimized crystal structure of LiScFeSn (PBE).

The calculation puts the polymorph energy (0 for the lowest one) at 131.5 meV per atom.

The structure belongs to space group F-43m (No. 216); the cell edges are 6.506, 6.506 and 6.506 Å and the angles 90.00°, 90.00° and 90.00°. Symmetry generates all atoms from Li at (0.000, 0.000, 0.000), Sc at (0.250, 0.250, 0.750), Fe at (0.250, 0.250, 0.250) and Sn at (0.000, 0.000, 0.500).

=====

7.
Entry from the Open Quantum Materials Database: an optimized crystal structure of BeZnCuBi (PBE).

The calculation puts the polymorph energy (0 for the lowest one) at 0.0 meV per atom.

The structure belongs to space group F-43m (No. 216); the cell edges are 6.509, 6.509 and 6.509 Å and the angles 90.00°, 90.00° and 90.00°. Symmetry generates all atoms from Be at (0.000, 0.000, 0.000), Zn at (0.250, 0.250, 0.250), Cu at (0.000, 0.000, 0.500) and Bi at (0.250, 0.250, 0.750).

=====

8.
Entry from the Open Quantum Materials Database: an optimized crystal structure of Ba2ErOsS6 (PBE).

The calculation puts the polymorph energy (0 for the lowest one) at 11.1 meV per atom.

The structure belongs to space group C2/m (No. 12); the cell edges are 12.130, 7.002 and 7.006 Å and the angles 90.00°, 125.26° and 90.00°. Symmetry generates all atoms from Ba at (0.250, 0.000, 0.250), Er at (0.000, 0.000, 0.500), Os at (0.000, 0.500, 0.000), S at (0.004, 0.262, 0.242) and S at (0.238, 0.500, 0.229).

=====

9.
Entry from the Open Quantum Materials Database: an optimized crystal structure of Li4CuPdPb2 (PBE).

The value obtained for the energy is -26.50 eV per formula unit.

The structure belongs to space group P-4m2 (No. 115); the cell edges are 4.565, 4.565 and 6.445 Å and the angles 90.00°, 90.00° and 90.00°. Symmetry generates all atoms from Li at (0.000, 0.000, 0.000), Li at (0.000, 0.500, 0.249), Li at (0.500, 0.500, 0.500), Cu at (0.000, 0.000, 0.500), Pd at (0.500, 0.500, 0.000) and Pb at (0.000, 0.500, 0.746).

=====

10.
Entry from the Open Quantum Materials Database: an optimized crystal structure of PuGaPb (PBE).

The calculation puts the polymorph energy (0 for the lowest one) at 0.0 meV per atom.

The structure belongs to space group F-43m (No. 216); the cell edges are 7.119, 7.119 and 7.119 Å and the angles 90.00°, 90.00° and 90.00°. Symmetry generates all atoms from Pu at (0.000, 0.000, 0.000), Ga at (0.250, 0.250, 0.750) and Pb at (0.250, 0.250, 0.250).

=====

11.
Entry from the Open Quantum Materials Database: an optimized crystal structure of RbReIr (PBE).

The calculation puts the polymorph energy (0 for the lowest one) at 1379.1 meV per atom.

The structure belongs to space group F-43m (No. 216); the cell edges are 6.632, 6.632 and 6.632 Å and the angles 90.00°, 90.00° and 90.00°. Symmetry generates all atoms from Rb at (0.000, 0.000, 0.000), Re at (0.250, 0.250, 0.250) and Ir at (0.250, 0.250, 0.750).

=====

12.
Entry from the Open Quantum Materials Database: an optimized crystal structure of ZrZn2 (PBE).

The value obtained for the energy is -11.20 eV per formula unit.

The structure belongs to space group Pmmn (No. 59, origin choice 2); the cell edges are 4.588, 9.800 and 4.597 Å and the angles 90.00°, 90.00° and 90.00°. Symmetry generates all atoms from Zr at (0.250, 0.093, 0.006), Zn at (0.250, 0.250, 0.507), Zn at (0.250, 0.585, 0.508) and Zn at (0.250, 0.750, 0.015).

=====

13.
Entry from the Open Quantum Materials Database: an optimized crystal structure of ScNiMoPb (PBE).

The calculation puts the polymorph energy (0 for the lowest one) at 0.0 meV per atom.

The structure belongs to space group F-43m (No. 216); the cell edges are 6.571, 6.571 and 6.571 Å and the angles 90.00°, 90.00° and 90.00°. Symmetry generates all atoms from Sc at (0.000, 0.000, 0.000), Ni at (0.250, 0.250, 0.750), Mo at (0.250, 0.250, 0.250) and Pb at (0.000, 0.000, 0.500).

=====

14.
Entry from the Open Quantum Materials Database: an optimized crystal structure of MgCdHgTe3 (PBE).

The calculation puts the polymorph energy (0 for the lowest one) at 0.0 meV per atom.

The structure belongs to space group Cmcm (No. 63); the cell edges are 4.110, 14.282 and 11.906 Å and the angles 90.00°, 90.00° and 90.00°. Symmetry generates all atoms from Mg at (0.000, 0.221, 0.250), Cd at (0.000, 0.486, 0.750), Hg at (0.000, 0.000, 0.000), Te at (0.000, 0.124, 0.750) and Te at (0.000, 0.352, 0.573).

=====

15.
Entry from the Open Quantum Materials Database: an optimized crystal structure of LaHfBeIr (PBE).

The calculation puts the polymorph energy (0 for the lowest one) at 0.0 meV per atom.

The structure belongs to space group F-43m (No. 216); the cell edges are 6.626, 6.626 and 6.626 Å and the angles 90.00°, 90.00° and 90.00°. Symmetry generates all atoms from La at (0.000, 0.000, 0.000), Hf at (0.250, 0.250, 0.250), Be at (0.250, 0.250, 0.750) and Ir at (0.000, 0.000, 0.500).

=====

16.
Entry from the Open Quantum Materials Database: an optimized crystal structure of LiCuSbIr (PBE).

The calculation puts the polymorph energy (0 for the lowest one) at 0.0 meV per atom.

The structure belongs to space group F-43m (No. 216); the cell edges are 6.211, 6.211 and 6.211 Å and the angles 90.00°, 90.00° and 90.00°. Symmetry generates all atoms from Li at (0.000, 0.000, 0.000), Cu at (0.250, 0.250, 0.750), Sb at (0.000, 0.000, 0.500) and Ir at (0.250, 0.250, 0.250).

=====

17.
Entry from the Open Quantum Materials Database: an optimized crystal structure of SmLuTc (PBE).

The calculation puts the polymorph energy (0 for the lowest one) at 0.0 meV per atom.

The structure belongs to space group F-43m (No. 216); the cell edges are 6.729, 6.729 and 6.729 Å and the angles 90.00°, 90.00° and 90.00°. Symmetry generates all atoms from Sm at (0.000, 0.000, 0.000), Lu at (0.250, 0.250, 0.250) and Tc at (0.000, 0.000, 0.500).

=====

18.
Entry from the Open Quantum Materials Database: an optimized crystal structure of ZrTaGa (PBE).

The calculation puts the polymorph energy (0 for the lowest one) at 0.0 meV per atom.

The structure belongs to space group Fmmm (No. 69); the cell edges are 5.261, 9.056 and 9.307 Å and the angles 90.00°, 90.00° and 90.00°. Symmetry generates all atoms from Zr at (0.000, 0.155, 0.000), Ta at (0.000, 0.000, 0.348) and Ga at (0.250, 0.250, 0.250).

=====

19.
Entry from the Open Quantum Materials Database: an optimized crystal structure of DyHoCS (PBE).

The value obtained for the energy is -27.59 eV per formula unit.

The structure belongs to space group P-6m2 (No. 187); the cell edges are 3.6952, 3.6952 and 12.8712 Å and the angles 90.00°, 90.00° and 120.00°. Symmetry generates all atoms from Dy at (0.0000, 0.0000, 0.1461), Ho at (0.3333, 0.6667, 0.3543), C at (0.6667, 0.3333, 0.2507), S at (0.0000, 0.0000, 0.5000) and S at (0.3333, 0.6667, 0.0000).

=====

20.
Entry from the Open Quantum Materials Database: an optimized crystal structure of KHoU (PBE).

The calculation puts the polymorph energy (0 for the lowest one) at 0.0 meV per atom.

The structure belongs to space group F-43m (No. 216); the cell edges are 8.096, 8.096 and 8.096 Å and the angles 90.00°, 90.00° and 90.00°. Symmetry generates all atoms from K at (0.000, 0.000, 0.000), Ho at (0.250, 0.250, 0.250) and U at (0.000, 0.000, 0.500).

=====

21.
Entry from the Open Quantum Materials Database: an optimized crystal structure of USiGe (PBE).

The calculation puts the polymorph energy (0 for the lowest one) at 46.4 meV per atom.

The structure belongs to space group F-43m (No. 216); the cell edges are 6.474, 6.474 and 6.474 Å and the angles 90.00°, 90.00° and 90.00°. Symmetry generates all atoms from U at (0.000, 0.000, 0.000), Si at (0.250, 0.250, 0.250) and Ge at (0.250, 0.250, 0.750).

=====

22.
Entry from the Open Quantum Materials Database: an optimized crystal structure of TaCoPtPb (PBE).

The calculation puts the polymorph energy (0 for the lowest one) at 48.4 meV per atom.

The structure belongs to space group F-43m (No. 216); the cell edges are 6.477, 6.477 and 6.477 Å and the angles 90.00°, 90.00° and 90.00°. Symmetry generates all atoms from Ta at (0.000, 0.000, 0.000), Co at (0.000, 0.000, 0.500), Pt at (0.250, 0.250, 0.750) and Pb at (0.250, 0.250, 0.250).

=====

23.
Entry from the Open Quantum Materials Database: an optimized crystal structure of Ga2CoAu (PBE).

The value obtained for the energy is -15.92 eV per formula unit.

The structure belongs to space group F-43m (No. 216); the cell edges are 6.255, 6.255 and 6.255 Å and the angles 90.00°, 90.00° and 90.00°. Symmetry generates all atoms from Ga at (0.000, 0.000, 0.000), Ga at (0.250, 0.250, 0.250), Co at (0.250, 0.250, 0.750) and Au at (0.000, 0.000, 0.500).

=====

24.
Entry from the Open Quantum Materials Database: an optimized crystal structure of CuSiNiB (PBE).

The calculation puts the polymorph energy (0 for the lowest one) at 0.0 meV per atom.

The structure belongs to space group F-43m (No. 216); the cell edges are 5.484, 5.484 and 5.484 Å and the angles 90.00°, 90.00° and 90.00°. Symmetry generates all atoms from Cu at (0.000, 0.000, 0.000), Si at (0.250, 0.250, 0.750), Ni at (0.000, 0.000, 0.500) and B at (0.250, 0.250, 0.250).

=====

25.
Entry from the Open Quantum Materials Database: an optimized crystal structure of BaHgSeO (PBE).

The value obtained for the energy is -15.56 eV per formula unit.

The structure belongs to space group Pca2_1 (No. 29); the cell edges are 6.606, 10.021 and 6.528 Å and the angles 90.00°, 90.00° and 90.00°. Symmetry generates all atoms from Ba at (0.001, 0.191, 0.000), Hg at (0.042, 0.406, 0.487), Se at (0.003, 0.853, 0.000) and O at (0.104, 0.420, 0.110).

=====

26.
Entry from the Open Quantum Materials Database: an optimized crystal structure of RbTaBe (PBE).

The calculation puts the polymorph energy (0 for the lowest one) at 0.0 meV per atom.

The structure belongs to space group F-43m (No. 216); the cell edges are 6.702, 6.702 and 6.702 Å and the angles 90.00°, 90.00° and 90.00°. Symmetry generates all atoms from Rb at (0.000, 0.000, 0.000), Ta at (0.000, 0.000, 0.500) and Be at (0.250, 0.250, 0.250).